Record 1
{
  "formula": "Pm3PuIr3",
  "functional": "PBE",
  "state": "relaxed",
  "e_above_lowest_polymorph_mev_per_atom": 47,
  "rho_g_cm3": 12.0,
  "ef_mev_per_atom": -502.8,
  "volume_a3_per_cell": 347,
  "energy_ev_per_atom": -8.384,
  "lattice": [[5.5207, -4.5455, 0.0000], [5.5207, 4.5455, 0.0000], [-1.5376, 0.0000, 6.9113]],
  "species": ["Pm", "Pm", "Pm", "Pm", "Pm", "Pm", "Pu", "Pu", "Ir", "Ir", "Ir", "Ir", "Ir", "Ir"],
  "fractional_positions": [[0.1984, 0.8016, 0.0000], [0.2873, 0.2873, 0.0072], [0.2882, 0.7118, 0.5000], [0.7118, 0.2882, 0.5000], [0.7127, 0.7127, 0.9928], [0.8016, 0.1984, 0.0000], [0.2102, 0.2102, 0.4604], [0.7898, 0.7898, 0.5396], [0.0085, 0.4989, 0.7241], [0.0517, 0.0517, 0.7127], [0.4989, 0.0085, 0.7241], [0.5011, 0.9915, 0.2759], [0.9483, 0.9483, 0.2873], [0.9915, 0.5011, 0.2759]]
}


Record 2
{
  "formula": "LiZn2PdF",
  "functional": "PBE",
  "state": "relaxed",
  "rho_g_cm3": 5.7,
  "volume_a3_per_cell": 76,
  "e_form_raw_ev_per_atom": -0.648,
  "energy_ev_per_atom": -2.953,
  "lattice": [[4.9148, 0.0000, 0.0000], [0.0000, 4.9148, 0.0000], [0.0000, 0.0000, 3.1547]],
  "species": ["Li", "Zn", "Zn", "Pd", "F"],
  "fractional_positions": [[0.0000, 0.0000, 0.0000], [0.0000, 0.5000, 0.0000], [0.5000, 0.0000, 0.0000], [0.5000, 0.5000, 0.5000], [0.0000, 0.0000, 0.5000]]
}


Record 3
{
  "formula": "Pu3Sc13",
  "functional": "PBE",
  "state": "relaxed",
  "rho_g_cm3": 5.6,
  "ef_mev_per_atom": 24.9,
  "volume_a3_per_cell": 390,
  "energy_ev_per_atom": -7.807,
  "lattice": [[6.5810, 0.0000, 0.0000], [0.0000, 5.1995, 5.6964], [0.0000, -5.1995, 5.6964]],
  "species": ["Pu", "Pu", "Pu", "Sc", "Sc", "Sc", "Sc", "Sc", "Sc", "Sc", "Sc", "Sc", "Sc", "Sc", "Sc", "Sc"],
  "fractional_positions": [[0.0000, 0.0000, 0.0000], [0.2442, 0.2367, 0.2367], [0.7558, 0.2367, 0.2367], [0.0000, 0.4095, 0.9027], [0.0000, 0.4901, 0.4901], [0.0000, 0.9027, 0.4095], [0.2467, 0.1561, 0.6586], [0.2467, 0.6586, 0.1561], [0.2498, 0.7418, 0.7418], [0.5000, 0.4098, 0.9061], [0.5000, 0.4907, 0.4907], [0.5000, 0.9061, 0.4098], [0.5000, 0.9912, 0.9912], [0.7502, 0.7418, 0.7418], [0.7533, 0.1561, 0.6586], [0.7533, 0.6586, 0.1561]]
}


Record 4
{
  "formula": "MgZn6Cd6",
  "functional": "PBE",
  "state": "relaxed",
  "rho_g_cm3": 7.1,
  "ef_mev_per_atom": 27.4,
  "volume_a3_per_cell": 255,
  "energy_ev_per_atom": -1.106,
  "lattice": [[-2.5737, 4.6414, 5.3279], [2.5737, -4.6414, 5.3279], [2.5737, 4.6414, -5.3279]],
  "species": ["Mg", "Zn", "Zn", "Zn", "Zn", "Zn", "Zn", "Cd", "Cd", "Cd", "Cd", "Cd", "Cd"],
  "fractional_positions": [[0.0000, 0.0000, 0.0000], [0.0000, 0.0000, 0.5000], [0.0000, 0.5000, 0.0000], [0.2336, 0.7336, 0.5000], [0.5000, 0.0000, 0.0000], [0.5000, 0.5000, 0.5000], [0.7664, 0.2664, 0.5000], [0.1684, 0.5000, 0.6684], [0.3377, 0.0000, 0.3377], [0.3545, 0.3545, 0.0000], [0.6455, 0.6455, 0.0000], [0.6623, 0.0000, 0.6623], [0.8316, 0.5000, 0.3316]]
}


Record 5
{
  "formula": "Pm2GdTh",
  "functional": "PBE",
  "state": "relaxed",
  "e_above_lowest_polymorph_mev_per_atom": 139,
  "rho_g_cm3": 8.4,
  "ef_mev_per_atom": 178.5,
  "volume_a3_per_cell": 535,
  "energy_ev_per_atom": -7.572,
  "lattice": [[8.1192, 0.0000, 0.0000], [0.0000, 8.1192, 0.0000], [0.0000, 0.0000, 8.1192]],
  "species": ["Pm", "Pm", "Pm", "Pm", "Pm", "Pm", "Pm", "Pm", "Gd", "Gd", "Gd", "Gd", "Th", "Th", "Th", "Th"],
  "fractional_positions": [[0.2500, 0.2500, 0.2500], [0.2500, 0.2500, 0.7500], [0.2500, 0.7500, 0.2500], [0.2500, 0.7500, 0.7500], [0.7500, 0.2500, 0.2500], [0.7500, 0.2500, 0.7500], [0.7500, 0.7500, 0.2500], [0.7500, 0.7500, 0.7500], [0.0000, 0.0000, 0.0000], [0.0000, 0.5000, 0.5000], [0.5000, 0.0000, 0.5000], [0.5000, 0.5000, 0.0000], [0.0000, 0.0000, 0.5000], [0.0000, 0.5000, 0.0000], [0.5000, 0.0000, 0.0000], [0.5000, 0.5000, 0.5000]]
}


Record 6
{
  "formula": "Dy2PS",
  "functional": "PBE",
  "state": "relaxed",
  "e_above_lowest_polymorph_mev_per_atom": 0,
  "rho_g_cm3": 7.3,
  "volume_a3_per_cell": 176,
  "e_form_raw_ev_per_atom": -1.877,
  "energy_ev_per_atom": -6.562,
  "lattice": [[3.9612, 0.0000, 0.0000], [0.0000, 5.5911, 0.0000], [0.0000, 0.0000, 7.9381]],
  "species": ["Dy", "Dy", "Dy", "Dy", "P", "P", "S", "S"],
  "fractional_positions": [[0.2500, 0.2500, 0.1184], [0.2500, 0.2500, 0.6334], [0.7500, 0.7500, 0.3666], [0.7500, 0.7500, 0.8816], [0.2500, 0.7500, 0.1275], [0.7500, 0.2500, 0.8725], [0.2500, 0.7500, 0.6218], [0.7500, 0.2500, 0.3782]]
}


Record 7
{
  "formula": "K4SrSc",
  "functional": "PBE",
  "state": "relaxed",
  "rho_g_cm3": 1.5,
  "ef_mev_per_atom": 503.2,
  "volume_a3_per_cell": 330,
  "energy_ev_per_atom": -1.564,
  "lattice": [[0.0000, 5.4826, 5.4826], [5.4826, 0.0000, 5.4826], [5.4826, 5.4826, 0.0000]],
  "species": ["K", "K", "K", "K", "Sr", "Sc"],
  "fractional_positions": [[0.1243, 0.1243, 0.1243], [0.1243, 0.1243, 0.6271], [0.1243, 0.6271, 0.1243], [0.6271, 0.1243, 0.1243], [0.5000, 0.5000, 0.5000], [0.7500, 0.7500, 0.7500]]
}


Record 8
{
  "formula": "Zr2NCl2",
  "functional": "PBE",
  "state": "relaxed",
  "rho_g_cm3": 4.5,
  "volume_a3_per_cell": 299,
  "e_form_raw_ev_per_atom": -1.685,
  "energy_ev_per_atom": -7.508,
  "lattice": [[3.4503, 0.0000, 0.0000], [-1.7252, 2.9881, 0.0000], [0.0000, 0.0000, 29.0283]],
  "species": ["Zr", "Zr", "Zr", "Zr", "Zr", "Zr", "N", "N", "N", "Cl", "Cl", "Cl", "Cl", "Cl", "Cl"],
  "fractional_positions": [[0.0000, 0.0000, 0.1277], [0.0000, 0.0000, 0.8723], [0.3333, 0.6667, 0.5390], [0.3333, 0.6667, 0.7943], [0.6667, 0.3333, 0.2057], [0.6667, 0.3333, 0.4610], [0.0000, 0.0000, 0.5000], [0.3333, 0.6667, 0.1667], [0.6667, 0.3333, 0.8333], [0.0000, 0.0000, 0.2672], [0.0000, 0.0000, 0.7328], [0.3333, 0.6667, 0.3995], [0.3333, 0.6667, 0.9339], [0.6667, 0.3333, 0.0661], [0.6667, 0.3333, 0.6005]]
}


Record 9
{
  "formula": "MnIn2Hg",
  "functional": "PBE",
  "state": "relaxed",
  "rho_g_cm3": 9.2,
  "ef_mev_per_atom": 241.3,
  "volume_a3_per_cell": 175,
  "energy_ev_per_atom": -3.496,
  "lattice": [[4.3295, 0.0000, 0.0000], [0.0000, 4.3295, 0.0000], [0.0000, 0.0000, 9.3226]],
  "species": ["Mn", "Mn", "In", "In", "In", "In", "Hg", "Hg"],
  "fractional_positions": [[0.0000, 0.0000, 0.0000], [0.5000, 0.5000, 0.5000], [0.0000, 0.0000, 0.5000], [0.0000, 0.5000, 0.2500], [0.5000, 0.0000, 0.7500], [0.5000, 0.5000, 0.0000], [0.0000, 0.5000, 0.7500], [0.5000, 0.0000, 0.2500]]
}


Record 10
{
  "formula": "CdInP2O",
  "functional": "PBE",
  "state": "relaxed",
  "e_above_lowest_polymorph_mev_per_atom": 0,
  "rho_g_cm3": 4.7,
  "volume_a3_per_cell": 109,
  "e_form_raw_ev_per_atom": 0.544,
  "energy_ev_per_atom": -3.343,
  "lattice": [[5.2490, 0.0000, 0.0000], [0.0000, 5.2490, 0.0000], [0.0000, 0.0000, 3.9409]],
  "species": ["Cd", "In", "P", "P", "O"],
  "fractional_positions": [[0.0000, 0.0000, 0.0000], [0.5000, 0.5000, 0.5000], [0.0000, 0.5000, 0.5000], [0.5000, 0.0000, 0.5000], [0.5000, 0.5000, 0.0000]]
}


Record 11
{
  "formula": "CdFeAu2",
  "functional": "PBE",
  "state": "relaxed",
  "rho_g_cm3": 13.4,
  "ef_mev_per_atom": 106.0,
  "volume_a3_per_cell": 140,
  "energy_ev_per_atom": -3.877,
  "lattice": [[6.3702, 0.0000, 0.0000], [0.0000, 7.2684, 0.0000], [0.0000, 0.0000, 3.0162]],
  "species": ["Cd", "Cd", "Fe", "Fe", "Au", "Au", "Au", "Au"],
  "fractional_positions": [[0.0000, 0.0000, 0.0000], [0.5000, 0.5000, 0.0000], [0.0000, 0.5000, 0.0000], [0.5000, 0.0000, 0.0000], [0.2500, 0.2500, 0.5000], [0.2500, 0.7500, 0.5000], [0.7500, 0.2500, 0.5000], [0.7500, 0.7500, 0.5000]]
}


Record 12
{
  "formula": "Na2VN2",
  "functional": "PBE",
  "state": "relaxed",
  "e_above_lowest_polymorph_mev_per_atom": 0,
  "rho_g_cm3": 2.9,
  "volume_a3_per_cell": 142,
  "e_form_raw_ev_per_atom": -0.527,
  "energy_ev_per_atom": -6.209,
  "lattice": [[-2.7952, 4.8210, 2.6296], [2.7952, -4.8210, 2.6296], [2.7952, 4.8210, -2.6296]],
  "species": ["Na", "Na", "Na", "Na", "V", "V", "N", "N", "N", "N"],
  "fractional_positions": [[0.1594, 0.1073, 0.2668], [0.3406, 0.6073, 0.9479], [0.6594, 0.3927, 0.0521], [0.8406, 0.8927, 0.7332], [0.2500, 0.7500, 0.5000], [0.7500, 0.2500, 0.5000], [0.0954, 0.6817, 0.7771], [0.4046, 0.1817, 0.5864], [0.5954, 0.8183, 0.4136], [0.9046, 0.3183, 0.2229]]
}